Compound: MnMo2Br
Source: Alexandria
Functional: GGA-PBE
Structure: relaxed

Cell lengths 4.8918, 4.8918, 4.6855 Å; angles 97.45, 97.45, 37.00 degrees
Last column: nearest neighbours and their distance in Å.
Sites, in units of the cell vectors:
Mn: 0.0000 0.0000 0.0000  6 Mo 2.75-2.76, 4 Br 2.81
Mo: 0.2643 0.2643 0.7935  2 Mo 2.52, 1 Br 2.74, 3 Mn 2.75-2.76
Mo: 0.7357 0.7357 0.2065  2 Mo 2.52, 1 Br 2.74, 3 Mn 2.75-2.76
Br: 0.5000 0.5000 0.5000  6 Mo 2.74-3.06, 4 Mn 2.81

- DOS(E_F) (states/eV per cell) = 3.06
- DFT total energy (eV for the cell shown) = -29.821
- calculated volume (Å³/f.u.) = 66.8
- mass density (Mg/m³) = 8.12

***

Compound: MnMoBr2
Source: Alexandria
Functional: GGA-PBE
Structure: relaxed

Cell lengths 5.1019, 5.1019, 6.8783 Å; angles 97.81, 97.81, 39.47 degrees
Last column: nearest neighbours and their distance in Å.
Sites, in units of the cell vectors:
Mn: 0.0000 0.0000 0.0000  2 Mo 2.40
Mo: 0.6764 0.6764 0.0338  2 Mn 2.40, 1 Br 2.58
Br: 0.3068 0.3068 0.7963  2 Mn 2.76, 2 Mo 2.79
Br: 0.5186 0.5186 0.3079  1 Mo 2.58, 2 Mn 2.72

- DOS(E_F) (states/eV per cell) = 0.10
- DFT total energy (eV for the cell shown) = -22.177
- calculated volume (Å³/f.u.) = 112.6
- mass density (Mg/m³) = 4.58

***

Compound: MnMoBr
Source: Alexandria
Functional: GGA-PBE
Structure: relaxed

Cell lengths 4.3083, 4.3083, 4.3083 Å; angles 60.00, 60.00, 60.00 degrees
Last column: nearest neighbours and their distance in Å.
Sites, in units of the cell vectors:
Mn: 0.0000 0.0000 0.0000  4 Mo 2.64
Mo: 0.7500 0.7500 0.7500  4 Mn 2.64, 4 Br 2.64
Br: 0.5000 0.5000 0.5000  4 Mo 2.64

- DOS(E_F) (states/eV per cell) = 1.37
- DFT total energy (eV for the cell shown) = -18.960
- calculated volume (Å³/f.u.) = 56.5
- mass density (Mg/m³) = 6.78

***

Compound: Mn2MoBr
Source: Alexandria
Functional: GGA-PBE
Structure: relaxed

Cell lengths 4.8866, 4.8866, 4.8866 Å; angles 130.37, 130.37, 72.82 degrees
Last column: nearest neighbours and their distance in Å.
Sites, in units of the cell vectors:
Mn: 0.2500 0.7500 0.5000  4 Br 2.84, 4 Mo 2.84, 4 Mn 2.90
Mn: 0.7500 0.2500 0.5000  4 Br 2.84, 4 Mo 2.84, 4 Mn 2.90
Mo: 0.0000 0.0000 0.0000  8 Mn 2.84, 4 Br 2.90
Br: 0.5000 0.5000 0.0000  8 Mn 2.84, 4 Mo 2.90

- DOS(E_F) (states/eV per cell) = 3.53
- DFT total energy (eV for the cell shown) = -27.258
- calculated volume (Å³/f.u.) = 66.2
- mass density (Mg/m³) = 7.17

***

Compound: Mn2MoBr
Source: Alexandria
Functional: GGA-PBE
Structure: relaxed

Cell lengths 3.1113, 3.1601, 7.3361 Å; angles 90.00, 90.00, 90.00 degrees
Last column: nearest neighbours and their distance in Å.
Sites, in units of the cell vectors:
Mn: 0.0000 0.0000 0.2041  2 Br 2.67, 4 Mo 2.68
Mn: 0.0000 0.0000 0.7959  2 Br 2.67, 4 Mo 2.68
Mo: 0.5000 0.5000 0.0000  8 Mn 2.68
Br: 0.5000 0.0000 0.5000  4 Mn 2.67

- DOS(E_F) (states/eV per cell) = 3.47
- DFT total energy (eV for the cell shown) = -29.499
- calculated volume (Å³/f.u.) = 72.1
- mass density (Mg/m³) = 6.58

***

Compound: MnMoBr2
Source: Alexandria
Functional: GGA-PBE
Structure: relaxed

Cell lengths 4.5820, 3.2939, 5.5635 Å; angles 90.00, 114.05, 90.00 degrees
Last column: nearest neighbours and their distance in Å.
Sites, in units of the cell vectors:
Mn: 0.0000 0.0000 0.0000  6 Br 2.79-2.82
Mo: 0.0000 0.5000 0.5000  6 Br 2.79-2.82
Br: 0.5000 0.0000 0.5000  2 Mn 2.79, 4 Mo 2.82
Br: 0.5000 0.5000 0.0000  2 Mo 2.79, 4 Mn 2.82

- DOS(E_F) (states/eV per cell) = 2.99
- DFT total energy (eV for the cell shown) = -20.954
- calculated volume (Å³/f.u.) = 76.7
- mass density (Mg/m³) = 6.73

***

Compound: Mn2MoBr
Source: Alexandria
Functional: GGA-PBE
Structure: relaxed

Cell lengths 7.0368, 7.0368, 7.0368 Å; angles 155.06, 150.38, 39.09 degrees
Last column: nearest neighbours and their distance in Å.
Sites, in units of the cell vectors:
Mn: 0.0000 0.0000 0.0000  2 Mn 2.39
Mn: 0.6185 0.1185 0.5000  2 Mn 2.39, 4 Mo 2.52
Mo: 0.1867 0.6867 0.5000  4 Mn 2.52, 2 Br 2.72
Br: 0.3570 0.3570 0.0000  2 Mo 2.72, 4 Mn 3.02, 2 Br 3.04

- DOS(E_F) (states/eV per cell) = 3.59
- DFT total energy (eV for the cell shown) = -28.832
- calculated volume (Å³/f.u.) = 72.5
- mass density (Mg/m³) = 6.55

***

Compound: Mn2MoBr
Source: Alexandria
Functional: GGA-PBE
Structure: relaxed

Cell lengths 3.0812, 4.3364, 4.6332 Å; angles 90.00, 90.00, 90.00 degrees
Last column: nearest neighbours and their distance in Å.
Sites, in units of the cell vectors:
Mn: 0.0000 0.0000 0.0000  4 Br 2.66, 4 Mn 2.78
Mn: 0.5000 0.0000 0.5000  4 Mo 2.66, 4 Mn 2.78
Mo: 0.0000 0.5000 0.5000  4 Mn 2.66, 4 Br 2.78
Br: 0.5000 0.5000 0.0000  4 Mn 2.66, 4 Mo 2.78

- DOS(E_F) (states/eV per cell) = 3.92
- DFT total energy (eV for the cell shown) = -27.745
- calculated volume (Å³/f.u.) = 61.9
- mass density (Mg/m³) = 7.66

***

Number 1: energy above the most stable polymorph in this dataset 1.338 eV/f.u., M_tot 2.41 μB/f.u.. Number 2: energy above the most stable polymorph in this dataset 0.631 eV/f.u., M_tot 1.01 μB/f.u.. Number 3: energy above the most stable polymorph in this dataset 1.428 eV/f.u., M_tot 1.64 μB/f.u.. Number 4: energy above the most stable polymorph in this dataset 2.241 eV/f.u., M_tot 5.35 μB/f.u.. Number 5: energy above the most stable polymorph in this dataset 0.000 eV/f.u., M_tot 5.55 μB/f.u.. Number 6: energy above the most stable polymorph in this dataset 1.854 eV/f.u., M_tot 2.09 μB/f.u.. Number 7: energy above the most stable polymorph in this dataset 0.667 eV/f.u., M_tot 1.95 μB/f.u.. Number 8: energy above the most stable polymorph in this dataset 1.754 eV/f.u., M_tot 4.69 μB/f.u..